First-principles (PBE-GGA) data for a geometry-optimized NdSm5 structure, as listed in Alexandria.

Unit cell a=5.151 b=10.892 c=7.275 alpha=90.00 beta=90.00 gamma=90.00
Positions (direct):
Nd: 0.250 0.250 0.125
Nd: 0.750 0.750 0.875
Sm: 0.250 0.250 0.624
Sm: 0.250 0.583 0.125
Sm: 0.250 0.583 0.625
Sm: 0.250 0.917 0.125
Sm: 0.250 0.917 0.625
Sm: 0.750 0.083 0.375
Sm: 0.750 0.083 0.875
Sm: 0.750 0.417 0.375
Sm: 0.750 0.417 0.875
Sm: 0.750 0.750 0.376

Calculated values
Raw total energy   -4.713 eV/atom
DOS(E_F)   1.42 states/eV/atom
Spin magnetization   0.0 μB per cell
Symmetry   Pmmn (59)
ΔH_f (0 K)   0.01 eV/atom

***

First-principles (PBE-GGA) data for a geometry-optimized Nd3Sm structure, as listed in Alexandria.

Unit cell a=5.825 b=5.825 c=5.825 alpha=60.00 beta=60.00 gamma=60.00
Positions (direct):
Nd: 0.000 0.000 0.000
Nd: 0.250 0.250 0.250
Nd: 0.750 0.750 0.750
Sm: 0.500 0.500 0.500

Calculated values
Raw total energy   -4.621 eV/atom
DOS(E_F)   2.70 states/eV/atom
Spin magnetization   0.0 μB per cell
E above lowest polymorph   121 meV per atom
Symmetry   Fm-3m (225)
ΔH_f (0 K)   0.13 eV/atom

***

First-principles (PBE-GGA) data for a geometry-optimized Nd3Sm structure, as listed in Alexandria.

Unit cell a=7.008 b=7.008 c=7.008 alpha=149.47 beta=63.67 gamma=125.60
Positions (direct):
Nd: 0.000 0.000 0.000
Nd: 0.421 0.671 0.751
Nd: 0.920 0.671 0.249
Sm: 0.500 0.000 0.500

Calculated values
Raw total energy   -4.725 eV/atom
DOS(E_F)   1.74 states/eV/atom
Spin magnetization   0.0 μB per cell
E above lowest polymorph   17 meV per atom
Symmetry   Imm2 (44)
ΔH_f (0 K)   0.03 eV/atom

***

What is the formula in the third record? Nd3Sm

***

DOS(E_F) of number 3 (Nd3Sm)? 1.74 states/eV/atom